The following is a DFT calculation (GGA+U) of crystalline VO2F at its relaxed geometry.

Output
- Total moment: 0.00 μB/cell
- DFT total energy: -5.4921 eV/atom

Lattice parameters (Å, degrees): 3.583 3.583 3.583 60.00 60.00 60.00
Element x y z (fractional)
V (0.000, 0.000, 0.000)
O (0.250, 0.250, 0.250)
O (0.750, 0.750, 0.750)
F (0.500, 0.500, 0.500)